CaSi2As | PBE | relaxed

As for the uncorrected formation energy: -106 meV per atom. The crystal system is tetragonal.

The structure belongs to space group P4mm (No. 99); the cell edges are 3.6129, 3.6129 and 6.0488 Å and the angles 90.00°, 90.00° and 90.00°. The distinct sites, in fractional coordinates, are Ca at (0.0000, 0.0000, 0.0000), Si at (0.0000, 0.0000, 0.4882), Si at (0.5000, 0.5000, 0.3100) and As at (0.5000, 0.5000, 0.7062).

=====

Cs2BaLi2 | PBE | relaxed

The crystal system is tetragonal. As for the formation enthalpy at 0 K: 1.7 eV per formula unit. Its energy above the most stable polymorph in this dataset is 131 meV/atom.

The structure belongs to space group I4/mmm (No. 139); the cell edges are 6.8297, 6.8297 and 13.6473 Å and the angles 90.00°, 90.00° and 90.00°. The distinct sites, in fractional coordinates, are Cs at (0.0000, 0.0000, 0.1405), Ba at (0.0000, 0.0000, 0.5000) and Li at (0.0000, 0.5000, 0.2500).

=====

Dy7Tm2Pu | PBE | relaxed

The crystal system is orthorhombic. As for the formation enthalpy at 0 K: 4.7 eV per formula unit.

The structure belongs to space group Cmmm (No. 65); the cell edges are 11.8714, 16.4112 and 3.4203 Å and the angles 90.00°, 90.00° and 90.00°. The distinct sites, in fractional coordinates, are Dy at (0.0000, 0.0000, 0.0000), Dy at (0.0000, 0.1750, 0.5000), Dy at (0.2417, 0.1305, 0.0000), Tm at (0.0000, 0.3360, 0.0000) and Pu at (0.0000, 0.5000, 0.5000).

=====

Cd8In3Hg2 | PBE | relaxed

The crystal system is trigonal. As for the formation enthalpy at 0 K: 1.2 eV per formula unit.

The structure belongs to space group R-3m (No. 166, hexagonal axes); the cell edges are 5.8117, 5.8117 and 36.6377 Å and the angles 90.00°, 90.00° and 120.00°. The distinct sites, in fractional coordinates, are Cd at (0.0000, 0.0000, 0.1875), Cd at (0.0043, 0.5021, 0.2970), In at (0.0000, 0.0000, 0.2663), In at (0.0000, 0.0000, 0.5000) and Hg at (0.0000, 0.0000, 0.1100).

=====

YOsPb2 | PBE | relaxed

The crystal system is monoclinic. As for the formation enthalpy at 0 K: 0.8 eV per formula unit. Its energy above the most stable polymorph in this dataset is 58 meV/atom.

The structure belongs to space group C2/m (No. 12); the cell edges are 12.0163, 3.4243 and 5.2887 Å and the angles 90.00°, 116.00° and 90.00°. The distinct sites, in fractional coordinates, are Y at (0.0000, 0.0000, 0.0000), Os at (0.0000, 0.5000, 0.5000) and Pb at (0.2092, 0.0000, 0.7094).

=====

Li2Ac2PrPb2 | PBE | relaxed

The crystal system is trigonal. As for the formation enthalpy at 0 K: -2.4 eV per formula unit.

The structure belongs to space group R-3m (No. 166, hexagonal axes); the cell edges are 4.9158, 4.9158 and 31.8757 Å and the angles 90.00°, 90.00° and 120.00°. The distinct sites, in fractional coordinates, are Li at (0.0000, 0.0000, 0.1152), Ac at (0.0000, 0.0000, 0.3774), Pr at (0.0000, 0.0000, 0.5000) and Pb at (0.0000, 0.0000, 0.2260).

=====

ZnAgW2 | PBE | relaxed

The crystal system is orthorhombic. As for the formation enthalpy at 0 K: 1.9 eV per formula unit.

The structure belongs to space group Pmmm (No. 47); the cell edges are 3.6587, 3.8960 and 4.4609 Å and the angles 90.00°, 90.00° and 90.00°. The distinct sites, in fractional coordinates, are Zn at (0.0000, 0.0000, 0.0000), Ag at (0.5000, 0.5000, 0.0000), W at (0.0000, 0.5000, 0.5000) and W at (0.5000, 0.0000, 0.5000).

=====

LaPm8Co2 | PBE | relaxed

The crystal system is monoclinic. As for the formation enthalpy at 0 K: 0.7 eV per formula unit.

The structure belongs to space group C2/m (No. 12); the cell edges are 8.5524, 13.8921 and 5.6939 Å and the angles 90.00°, 100.48° and 90.00°. The distinct sites, in fractional coordinates, are La at (0.0000, 0.0000, 0.0000), Pm at (0.0000, 0.2598, 0.0000), Pm at (0.0915, 0.5000, 0.7915), Pm at (0.2101, 0.1315, 0.5634) and Co at (0.0000, 0.2958, 0.5000).

=====

Sr2Tl2SbO6 | PBE | relaxed

As for the uncorrected formation energy: -1655 meV per atom. The crystal system is monoclinic.

The structure belongs to space group C2/m (No. 12); the cell edges are 6.3182, 10.7431 and 6.2523 Å and the angles 90.00°, 103.55° and 90.00°. The distinct sites, in fractional coordinates, are Sr at (0.0000, 0.1639, 0.0000), Tl at (0.0000, 0.3422, 0.5000), Sb at (0.0000, 0.5000, 0.0000), O at (0.1837, 0.3620, 0.1740) and O at (0.2074, 0.5000, 0.7897).

=====

HIrOs | PBE | relaxed

The crystal system is orthorhombic. Its energy above the most stable polymorph in this dataset is 279 meV/atom.

The structure belongs to space group Pnma (No. 62); the cell edges are 4.8875, 5.4125 and 4.8987 Å and the angles 90.00°, 90.00° and 90.00°. The distinct sites, in fractional coordinates, are H at (0.2003, 0.2500, 0.2018), Ir at (0.0023, 0.2500, 0.5225) and Os at (0.0000, 0.0000, 0.0000).

=====

PdS6Br | PBE | relaxed

As for the uncorrected formation energy: 90 meV per atom. The crystal system is monoclinic.

The structure belongs to space group C2/m (No. 12); the cell edges are 6.2771, 18.3710 and 5.1256 Å and the angles 90.00°, 121.54° and 90.00°. The distinct sites, in fractional coordinates, are Pd at (0.0000, 0.0000, 0.0000), S at (0.0743, 0.5000, 0.7244), S at (0.1835, 0.2091, 0.1121) and Br at (0.0000, 0.0000, 0.5000).

=====

CoReCl2 | PBE | relaxed

As for the uncorrected formation energy: 951 meV per atom. The crystal system is orthorhombic. Its energy above the most stable polymorph in this dataset is 858 meV/atom.

The structure belongs to space group Pmmm (No. 47); the cell edges are 2.8364, 4.1433 and 5.3784 Å and the angles 90.00°, 90.00° and 90.00°. The distinct sites, in fractional coordinates, are Co at (0.0000, 0.0000, 0.0000), Re at (0.5000, 0.0000, 0.5000), Cl at (0.0000, 0.5000, 0.5000) and Cl at (0.5000, 0.5000, 0.0000).

=====

TmSi2Ru2 | PBE | relaxed

As for the uncorrected formation energy: -700 meV per atom. The crystal system is tetragonal.

The structure belongs to space group P4/mmm (No. 123); the cell edges are 4.0975, 4.0975 and 4.9082 Å and the angles 90.00°, 90.00° and 90.00°. The distinct sites, in fractional coordinates, are Tm at (0.0000, 0.0000, 0.0000), Si at (0.5000, 0.5000, 0.2400) and Ru at (0.0000, 0.5000, 0.5000).

=====

CsLaHg2Sb | PBE | relaxed

As for the uncorrected formation energy: 484 meV per atom. The crystal system is tetragonal.

The structure belongs to space group P4/mmm (No. 123); the cell edges are 5.6462, 5.6462 and 6.6924 Å and the angles 90.00°, 90.00° and 90.00°. The distinct sites, in fractional coordinates, are Cs at (0.0000, 0.0000, 0.0000), La at (0.5000, 0.5000, 0.0000), Hg at (0.0000, 0.5000, 0.5000) and Sb at (0.0000, 0.0000, 0.5000).

=====

TaReTc | PBE | relaxed

The crystal system is cubic. As for the formation enthalpy at 0 K: 1.5 eV per formula unit. Its energy above the most stable polymorph in this dataset is 584 meV/atom.

The structure belongs to space group F-43m (No. 216); the cell edges are 6.0811, 6.0811 and 6.0811 Å and the angles 90.00°, 90.00° and 90.00°. The distinct sites, in fractional coordinates, are Ta at (0.0000, 0.0000, 0.0000), Re at (0.2500, 0.2500, 0.7500) and Tc at (0.0000, 0.0000, 0.5000).

=====

BaNi2Ag2 | PBE | relaxed

The crystal system is tetragonal. As for the formation enthalpy at 0 K: 0.6 eV per formula unit. Its energy above the most stable polymorph in this dataset is 0 meV/atom.

The structure belongs to space group I4/mmm (No. 139); the cell edges are 4.3079, 4.3079 and 11.1392 Å and the angles 90.00°, 90.00° and 90.00°. The distinct sites, in fractional coordinates, are Ba at (0.0000, 0.0000, 0.0000), Ni at (0.0000, 0.0000, 0.3960) and Ag at (0.0000, 0.5000, 0.2500).

=====

NiTePIr | PBE | relaxed

As for the uncorrected formation energy: -247 meV per atom. The crystal system is monoclinic. Its energy above the most stable polymorph in this dataset is 2 meV/atom.

The structure belongs to space group Cm (No. 8); the cell edges are 6.5586, 3.6018 and 6.6174 Å and the angles 90.00°, 102.18° and 90.00°. The distinct sites, in fractional coordinates, are Ni at (0.0000, 0.0000, 0.0000), Te at (0.2888, 0.0000, 0.8000), P at (0.3508, 0.5000, 0.2689) and Ir at (0.2037, 0.0000, 0.3894).

=====

LiTc2Br | PBE | relaxed

As for the uncorrected formation energy: 138 meV per atom. The crystal system is monoclinic. Its energy above the most stable polymorph in this dataset is 103 meV/atom.

The structure belongs to space group Cm (No. 8); the cell edges are 6.3270, 3.3733 and 8.1050 Å and the angles 90.00°, 109.46° and 90.00°. The distinct sites, in fractional coordinates, are Li at (0.0000, 0.0000, 0.0000), Tc at (0.0730, 0.5000, 0.4853), Tc at (0.3226, 0.5000, 0.3285) and Br at (0.2296, 0.0000, 0.7981).

=====

DyBS3 | PBE | relaxed

As for the uncorrected formation energy: -1215 meV per atom. The crystal system is monoclinic.

The structure belongs to space group P2_1/c (No. 14); the cell edges are 6.2728, 7.1445 and 10.4685 Å and the angles 90.00°, 124.18° and 90.00°. The distinct sites, in fractional coordinates, are Dy at (0.2035, 0.1286, 0.2475), B at (0.1978, 0.6522, 0.0937), S at (0.0612, 0.1968, 0.9322), S at (0.2762, 0.6856, 0.9522) and S at (0.3845, 0.0047, 0.7556).

=====

CrCu2As | PBE | relaxed

The crystal system is orthorhombic. As for the formation enthalpy at 0 K: 0.5 eV per formula unit.

The structure belongs to space group Immm (No. 71); the cell edges are 3.6145, 3.6387 and 8.4168 Å and the angles 90.00°, 90.00° and 90.00°. The distinct sites, in fractional coordinates, are Cr at (0.0000, 0.0000, 0.0000), Cu at (0.0000, 0.5000, 0.2502) and As at (0.0000, 0.0000, 0.5000).

=====

Values of magnetization, in order: 0.000 0.000 5.334 0.000 0.000 0.000 0.000 0.000 0.000 0.211 0.000 3.065 0.000 0.288 0.000 0.001 0.000 0.000 0.000 3.361, all in μB per formula unit.